{
  "formula": "KIn2NiHg",
  "functional": "GGA-PBE",
  "state": "optimized geometry",
  "lattice": [[-4.635, 0.107, 1.984], [-1.718, -2.746, -3.865], [1.042, -4.414, 2.673]],
  "species": ["Ni", "In", "Hg", "K", "In"],
  "fractional_positions": [[0.000, 0.000, 0.000], [0.500, 0.000, 0.000], [0.000, 0.000, 0.500], [0.500, 0.500, 0.500], [0.000, 0.500, 0.000]],
  "crystal_system": "tetragonal",
  "delta_e_f_ev_per_atom": -0.103,
  "polymorph_energy_ev_per_fu": 0.00,
  "e_tot_ev_per_atom": -2.635
}